# PrTh2Hg6 (PBE, relaxed)
# Size of the total moment in μB per formula unit: 0.0
# Symmetry: P6/mmm, No. 191
# Final energy in eV per atom: -2.700
# Formation energy from the elements in eV/atom: -0.32
data_PrTh2Hg6
_chemical_formula_sum 'Pr1 Th2 Hg6'
_cell_length_a 3.4228
_cell_length_b 8.8162
_cell_length_c 8.8162
_cell_angle_alpha 120.00
_cell_angle_beta 90.00
_cell_angle_gamma 90.00
_symmetry_space_group_name_H-M 'P 1'
_symmetry_Int_Tables_number 1
_symmetry_space_group_name_Hall 'P 1'
loop_
_atom_site_label
_atom_site_fract_x
_atom_site_fract_y
_atom_site_fract_z
_atom_site_occupancy
Pr1 0.0000 0.0000 0.0000 1
Th1 0.0000 0.3333 0.6667 1
Th2 0.0000 0.6667 0.3333 1
Hg1 0.5000 0.3330 0.3330 1
Hg2 0.5000 0.6670 0.6670 1
Hg3 0.5000 0.0000 0.6670 1
Hg4 0.5000 0.6670 0.0000 1
Hg5 0.5000 0.3330 0.0000 1
Hg6 0.5000 0.0000 0.3330 1